A plane-wave DFT calculation with SCAN was carried out for a crystal of YP3O9 relaxed with PBEsol.

**Crystal system**: monoclinic
**Offset from the most stable computed form**: 0.000 eV per atom

Lattice parameters (Å, degrees): 7.0018 9.7125 11.0471 90.00 91.90 90.00
Last column: nearest neighbours and their distance in Å.
Positions (direct):
O: 0.2211 0.9090 0.1627  1 P 1.49
O: 0.7789 0.4090 0.8373  1 P 1.49
O: 0.7789 0.0910 0.8373  1 P 1.49
O: 0.2211 0.5910 0.1627  1 P 1.49
O: 0.8278 0.0854 0.1212  1 P 1.50
O: 0.1722 0.5854 0.8788  1 P 1.50
O: 0.1722 0.9146 0.8788  1 P 1.50
O: 0.8278 0.4146 0.1212  1 P 1.50
O: 0.2721 0.9071 0.3947  1 P 1.50
O: 0.7279 0.4071 0.6053  1 P 1.50
O: 0.7279 0.0929 0.6053  1 P 1.50
O: 0.2721 0.5929 0.3947  1 P 1.50
O: 0.9494 0.9494 0.3051  2 P 1.61
O: 0.0506 0.4494 0.6949  2 P 1.61
O: 0.0506 0.0506 0.6949  2 P 1.61
O: 0.9494 0.5506 0.3051  2 P 1.61
O: 0.6494 0.0872 0.3209  1 P 1.49
O: 0.3506 0.5872 0.6791  1 P 1.49
O: 0.3506 0.9128 0.6791  1 P 1.49
O: 0.6494 0.4128 0.3209  1 P 1.49
O: 0.6446 0.7500 0.5397  1 P 1.50
O: 0.3554 0.2500 0.4603  1 P 1.50
O: 0.4908 0.2500 0.9828  1 P 1.49
O: 0.5092 0.7500 0.0172  1 P 1.49
O: 0.0095 0.7500 0.5767  1 P 1.50
O: 0.9905 0.2500 0.4233  1 P 1.50
O: 0.1249 0.2500 0.9433  1 P 1.50
O: 0.8751 0.7500 0.0567  1 P 1.50
O: 0.2066 0.1277 0.2768  2 P 1.59-1.61
O: 0.7934 0.6277 0.7232  2 P 1.59-1.61
O: 0.7934 0.8723 0.7232  2 P 1.59-1.61
O: 0.2066 0.3723 0.2768  2 P 1.59-1.61
O: 0.6499 0.8753 0.1968  2 P 1.59-1.61
O: 0.3501 0.3753 0.8032  2 P 1.59-1.61
O: 0.3501 0.1247 0.8032  2 P 1.59-1.61
O: 0.6499 0.6247 0.1968  2 P 1.59-1.61
P: 0.7663 0.0109 0.2322  4 O 1.49-1.61
P: 0.2337 0.5109 0.7678  4 O 1.49-1.61
P: 0.2337 0.9891 0.7678  4 O 1.49-1.61
P: 0.7663 0.4891 0.2322  4 O 1.49-1.61
P: 0.1742 0.9654 0.2838  4 O 1.49-1.61
P: 0.8258 0.4654 0.7162  4 O 1.49-1.61
P: 0.8258 0.0346 0.7162  4 O 1.49-1.61
P: 0.1742 0.5346 0.2838  4 O 1.49-1.61
P: 0.1866 0.2500 0.3734  4 O 1.50-1.61
P: 0.8134 0.7500 0.6266  4 O 1.50-1.61
P: 0.6773 0.7500 0.1041  4 O 1.49-1.61
P: 0.3227 0.2500 0.8959  4 O 1.49-1.61
Y: 0.8119 0.2500 0.9813  6 O 2.22-2.25
Y: 0.1881 0.7500 0.0187  6 O 2.22-2.25
Y: 0.3254 0.7500 0.5373  6 O 2.22-2.27
Y: 0.6746 0.2500 0.4627  6 O 2.22-2.27